# 1
Computed, not measured: an optimized crystal structure of Tl2ReSiTe at the PBE level of DFT.

Properties
Density   8.9 Mg/m³
E above lowest polymorph   0 meV/atom

Structure (POSCAR):
```
Tl2ReSiTe
1.0
5.4903 0.0000 0.0000
0.0000 4.6362 0.0000
0.0000 0.0000 5.4903
Si Te Tl Re
1 1 2 1
Cartesian
0.0000 2.3181 0.0000
2.7451 2.3181 2.7451
2.7451 0.0000 0.0000
0.0000 0.0000 2.7451
0.0000 0.0000 0.0000
```


# 2
Computed, not measured: an optimized crystal structure of Tl2ReSiTe at the PBE level of DFT.

Properties
Density   6.2 Mg/m³
E above lowest polymorph   1230 meV/atom

Structure (POSCAR):
```
Tl2ReSiTe
1.0
6.2902 0.0000 0.0000
0.0000 5.1093 0.0000
0.0000 0.0000 6.2902
Tl Re Si Te
2 1 1 1
Cartesian
0.0000 0.0000 3.1451
3.1451 0.0000 0.0000
3.1451 2.5546 3.1451
0.0000 2.5546 0.0000
0.0000 0.0000 0.0000
```


# 3
Computed, not measured: an optimized crystal structure of ThReSi2 at the PBE level of DFT.

Properties
Density   10.3 Mg/m³

Structure (POSCAR):
```
ThReSi2
1.0
4.2095 0.0000 0.0000
0.0000 7.1049 0.0000
0.0000 0.0000 10.1920
Th Si Re
4 8 4
Cartesian
1.0524 5.9982 1.3001
3.1571 4.6592 6.3961
3.1571 1.1067 8.8918
1.0524 2.4457 3.7958
1.0524 2.4537 6.9970
3.1571 1.4054 5.8984
1.0524 6.0061 8.2910
1.0524 2.1470 0.8024
3.1571 4.9579 9.3896
3.1571 4.6512 3.1950
1.0524 5.6995 4.2936
3.1571 1.0988 1.9010
3.1571 7.0040 3.9929
3.1571 3.4516 1.1031
1.0524 3.6533 9.0889
1.0524 0.1009 6.1991
```


# 4
Computed, not measured: an optimized crystal structure of ThRe4Si2 at the PBE level of DFT.

Properties
Density   14.5 Mg/m³

Structure (POSCAR):
```
ThRe4Si2
1.0
-0.4891 3.9018 -1.3690
1.3950 -2.2009 -6.7712
-15.2983 -2.7141 -2.2696
Re Th Si
16 4 8
Cartesian
-4.0452 0.0525 -4.7373
-10.0186 -2.4152 -3.3042
-10.3472 -1.0656 -5.6725
-13.3237 -4.4630 -7.9598
-8.0800 -2.8305 -5.1803
-1.7560 -2.7599 -7.2386
-11.7491 -1.9521 -7.6982
-0.5795 -0.4520 -1.0811
-12.1472 -2.1551 -1.8023
-2.6433 0.9390 -2.7116
-3.8847 -2.4997 -5.7366
-5.8232 -2.0845 -3.8605
-0.1749 -0.3123 -7.1598
-6.2188 -0.6823 -6.0550
-14.2175 -0.7009 -3.2500
-8.1736 -0.3308 -4.3548
-5.9668 0.7239 -2.1371
-8.4256 -1.7371 -8.2727
-12.9152 -3.3037 -4.8015
-0.9881 -1.6113 -4.2394
-7.7946 -1.8002 -2.3457
-0.1681 1.1576 -2.9729
-10.1441 -3.5020 -6.3568
-14.2243 -2.1707 -7.4369
-2.5869 -0.4348 -6.6473
-6.1086 -3.1148 -6.6951
-11.8055 -0.5783 -3.7625
-3.7592 -1.4130 -2.6840
```


# 5
Computed, not measured: an optimized crystal structure of ThReSi2 at the PBE level of DFT.

Properties
Density   10.9 Mg/m³

Structure (POSCAR):
```
ThReSi2
1.0
4.7335 0.0000 0.0000
2.3667 4.0993 0.0000
2.3667 1.3664 3.7179
Si Re Th
2 1 1
Cartesian
7.1002 4.0993 2.7217
2.3667 1.3664 0.9962
0.0000 0.0000 0.0000
4.7335 2.7329 1.8589
```


# 6
Computed, not measured: an optimized crystal structure of ThReSi3 at the PBE level of DFT.

Properties
Density   9.0 Mg/m³
E above lowest polymorph   0 meV/atom

Structure (POSCAR):
```
ThReSi3
1.0
3.9573 0.0000 -1.5946
-0.6425 3.9048 -1.5946
0.0799 0.0941 5.9059
Si Re Th
3 1 1
Cartesian
0.5898 3.0256 1.4637
2.8897 1.0732 1.4637
1.4598 1.7197 3.6229
2.1900 2.5799 -0.2727
3.3681 3.9676 2.6509
```


# 7
Computed, not measured: an optimized crystal structure of ThReSi3 at the PBE level of DFT.

Properties
Density   8.4 Mg/m³
E above lowest polymorph   149 meV/atom

Structure (POSCAR):
```
ThReSi3
1.0
5.8065 -0.0003 -0.0001
0.0002 5.6491 -0.0009
0.0001 0.0009 6.0419
Si Th Re
6 2 2
Cartesian
5.4287 2.8757 2.9326
2.5255 4.7673 5.9532
2.4494 1.2246 1.2127
5.3527 0.7686 4.2337
5.4287 2.8760 5.5343
2.5254 4.7668 2.5132
2.5233 1.8997 4.2338
5.4265 0.0936 1.2131
0.8825 4.5039 4.2333
3.7856 3.1388 1.2125
```


# 8
Computed, not measured: an optimized crystal structure of ThRe2Si3 at the PBE level of DFT.

Properties
Density   11.1 Mg/m³

Structure (POSCAR):
```
ThRe2Si3
1.0
5.7374 0.0000 0.0000
0.0000 6.0768 -0.0610
0.0000 -1.2805 5.9407
Si Th Re
6 2 4
Cartesian
4.3031 0.1042 2.7272
1.4344 4.6920 3.1525
1.4344 2.1456 5.2297
1.4344 4.4987 5.5149
4.3031 0.2976 0.3648
4.3031 2.6507 0.6500
1.4344 1.6153 1.9802
4.3031 3.1810 3.8995
0.0000 4.5655 1.1718
0.0000 0.2308 4.7078
2.8687 0.2308 4.7078
2.8687 4.5655 1.1718
```


# 9
Computed, not measured: an optimized crystal structure of Th2ReSi3 at the PBE level of DFT.

Properties
Density   9.7 Mg/m³

Structure (POSCAR):
```
Th2ReSi3
1.0
-2.8876 5.0077 1.2112
-2.1914 -2.5199 4.8714
8.2007 1.1100 0.7231
Si Re Th
6 2 4
Cartesian
4.5379 3.8830 2.2010
-1.4162 -0.2852 4.6047
-1.7717 3.5593 2.7354
1.2269 2.8100 5.5457
4.8935 0.0386 4.0703
1.8949 0.7879 1.2600
-0.6753 2.0191 4.2809
3.7970 1.5788 2.5248
-3.7484 1.8361 4.4891
1.7349 -0.0830 4.3179
-1.3305 0.6517 1.5935
1.3868 3.6808 2.4878
```


# 10
Computed, not measured: an optimized crystal structure of Th2ReSi at the PBE level of DFT.

Properties
Density   11.7 Mg/m³

Structure (POSCAR):
```
Th2ReSi
1.0
3.3192 0.0000 0.0000
1.6596 2.8745 0.0000
1.6596 0.9582 10.0517
Re Si Th
1 1 2
Cartesian
0.0000 0.0000 0.0000
3.3192 1.9164 5.0258
1.6596 0.9582 7.4485
4.9788 2.8745 2.6032
```


# 11
Computed, not measured: an optimized crystal structure of ThTiReSi2 at the PBE level of DFT.

Properties
Density   9.5 Mg/m³

Structure (POSCAR):
```
ThTiReSi2
1.0
-2.3248 2.2992 -2.4281
-2.4432 0.8513 3.1454
5.4711 2.8217 0.8492
Si Ti Re Th
2 1 1 1
Cartesian
2.3903 3.4046 0.9352
-1.6872 2.5677 0.6313
0.3220 2.6241 2.1766
0.3811 3.3481 -0.6101
0.0000 0.0000 0.0000
```


# 12
Computed, not measured: an optimized crystal structure of ThReSi2W at the PBE level of DFT.

Properties
Density   12.0 Mg/m³

Structure (POSCAR):
```
ThReSi2W
1.0
-1.8380 2.6940 -2.4938
-2.7901 -2.8375 -1.0090
-0.8230 1.7064 5.8293
Si W Re Th
2 1 1 1
Cartesian
-3.0421 0.3076 -0.8050
-2.4091 1.2553 3.1316
-2.9636 -0.6014 1.5345
-2.4875 2.1643 0.7921
0.0000 0.0000 0.0000
```


# 13
Computed, not measured: an optimized crystal structure of TiRe2Si at the PBE level of DFT.

Properties
Density   13.1 Mg/m³

Structure (POSCAR):
```
TiRe2Si
1.0
3.1182 0.0000 0.0000
0.0000 4.2619 0.0000
0.0000 0.0000 4.2619
Re Ti Si
2 1 1
Cartesian
0.0000 0.0000 2.1309
0.0000 2.1309 0.0000
1.5591 0.0000 0.0000
1.5591 2.1309 2.1309
```


# 14
Computed, not measured: an optimized crystal structure of TiRe2Si at the PBE level of DFT.

Properties
Density   11.2 Mg/m³

Structure (POSCAR):
```
TiRe2Si
1.0
-5.8375 -4.3408 1.3921
2.3524 -4.8059 -5.1212
-0.4670 -5.7475 -0.1767
Re Si Ti
4 2 2
Cartesian
-1.4867 -8.0890 -1.9022
-3.0481 -4.4360 0.0848
0.2007 -5.2978 -2.9700
-3.5703 -11.9657 -3.0243
-1.7426 -4.5734 -1.8646
0.0714 -7.5634 -3.5813
-4.0235 -7.3308 -0.3246
0.0000 0.0000 0.0000
```


# 15
Computed, not measured: an optimized crystal structure of TiReSi2 at the PBE level of DFT.

Properties
Density   7.8 Mg/m³

Structure (POSCAR):
```
TiReSi2
1.0
3.6949 0.0000 0.0000
0.0000 3.6949 0.0000
1.8475 1.8475 8.9957
Re Si Ti
2 4 2
Cartesian
0.0000 0.0000 0.0000
3.6949 1.8475 4.4978
0.9643 2.7712 2.2489
2.7712 2.8118 6.7467
2.7306 0.9237 2.2489
4.6186 4.5781 6.7467
1.8475 3.6949 4.4978
1.8475 1.8475 0.0000
```


# 16
Computed, not measured: an optimized crystal structure of TiReSi at the PBE level of DFT.

Properties
Density   10.0 Mg/m³

Structure (POSCAR):
```
TiReSi
1.0
6.8106 0.0000 0.0000
-3.4053 5.8981 0.0000
0.0000 0.0000 3.2375
Si Re Ti
3 3 3
Cartesian
3.4053 1.9660 0.0000
0.0000 3.9321 0.0000
0.0000 0.0000 1.6188
1.7883 0.0000 0.0000
-0.8942 1.5488 0.0000
2.5111 4.3494 0.0000
-2.0354 3.5254 1.6188
4.0707 0.0000 1.6188
1.3699 2.3728 1.6188
```


# 17
Computed, not measured: an optimized crystal structure of Ti4Re2Si at the PBE level of DFT.

Properties
Density   7.6 Mg/m³

Structure (POSCAR):
```
Ti4Re2Si
1.0
-1.4296 -4.1245 1.2387
3.9596 -0.7456 2.0870
-1.0674 -0.0406 6.9435
Si Ti Re
1 4 2
Cartesian
0.0000 0.0000 0.0000
1.9798 -0.3728 1.0435
-0.1618 -0.9703 4.8932
1.6244 -3.9405 5.3761
-0.7148 -2.0623 0.6194
0.7205 -1.8761 2.8956
0.7420 -3.0347 7.3737
```


# 18
Computed, not measured: an optimized crystal structure of TiReSi3 at the PBE level of DFT.

Properties
Density   5.3 Mg/m³
E above lowest polymorph   0 meV/atom

Structure (POSCAR):
```
TiReSi3
1.0
4.6396 0.0000 0.0000
0.0000 4.6396 0.0000
0.0000 0.0000 4.6396
Si Ti Re
3 1 1
Cartesian
0.0000 0.0000 2.3198
2.3198 0.0000 0.0000
0.0000 2.3198 0.0000
2.3198 2.3198 2.3198
0.0000 0.0000 0.0000
```


# 19
Computed, not measured: an optimized crystal structure of TiReSi2 at the PBE level of DFT.

Properties
Density   8.6 Mg/m³

Structure (POSCAR):
```
TiReSi2
1.0
0.3420 1.8961 3.8384
-3.3701 0.0853 2.6609
0.0264 -2.3790 3.5756
Si Re Ti
2 1 1
Cartesian
-2.2513 -0.2982 7.5561
-0.7504 -0.0994 2.5187
-1.5009 -0.1988 5.0374
0.0000 0.0000 0.0000
```


# 20
Computed, not measured: an optimized crystal structure of Ti3ReSi at the PBE level of DFT.

Properties
Density   6.5 Mg/m³
E above lowest polymorph   0 meV/atom

Structure (POSCAR):
```
Ti3ReSi
1.0
-2.4538 1.1877 3.5747
-3.7098 -0.0223 -2.5391
-0.6531 -4.3358 0.9923
Re Ti Si
1 3 1
Cartesian
-3.4084 -1.5852 1.0140
-1.2269 0.5939 1.7874
-0.3266 -2.1679 0.4961
-1.8549 -0.0111 -1.2696
0.0000 0.0000 0.0000
```


# 21
Computed, not measured: an optimized crystal structure of TiReSi at the PBE level of DFT.

Properties
Density   10.0 Mg/m³

Structure (POSCAR):
```
TiReSi
1.0
-1.8578 -2.6579 0.3703
4.7985 -3.7635 -2.9395
4.9307 -1.9731 10.5753
Re Si Ti
6 6 6
Cartesian
6.1800 -5.2308 7.8450
3.0099 -3.6914 2.9891
4.2162 -4.8909 0.4323
4.8615 -4.7032 5.0170
3.6551 -3.5037 7.5739
1.6913 -3.1638 0.1611
5.8499 -3.1676 6.6133
1.3629 -2.3571 4.3033
6.5085 -6.0375 3.7028
3.8793 -2.5691 1.0226
8.0484 -6.6537 7.0057
-0.1771 -1.7409 1.0004
2.0103 -1.1032 2.1675
5.8336 -3.7183 2.5786
3.8366 -2.9192 -1.7045
5.8925 -2.8175 9.3404
3.8955 -2.0183 5.0572
7.7189 -4.6335 5.4684
```


# 22
Computed, not measured: an optimized crystal structure of Ti3ReSi at the PBE level of DFT.

Properties
Density   5.7 Mg/m³
E above lowest polymorph   60 meV/atom

Structure (POSCAR):
```
Ti3ReSi
1.0
-0.7503 0.3017 -4.6375
-4.1517 -2.1542 0.5315
-2.0881 4.1747 0.6094
Si Ti Re
1 3 1
Cartesian
-3.4950 1.1611 -1.7483
-0.3751 0.1508 -2.3187
-2.0759 -1.0771 0.2658
-1.0440 2.0874 0.3047
0.0000 0.0000 0.0000
```


# 23
Computed, not measured: an optimized crystal structure of Ti2ReSi2 at the PBE level of DFT.

Properties
Density   7.7 Mg/m³

Structure (POSCAR):
```
Ti2ReSi2
1.0
-1.4849 -5.0969 -3.6034
5.1447 1.0981 -3.6733
1.9429 -2.0555 2.1068
Si Ti Re
4 4 2
Cartesian
1.7018 -0.2644 -1.8275
-0.2619 -3.0735 -2.7572
3.9217 -0.9253 -4.5194
1.9580 -3.7344 -5.4492
1.3511 -2.5276 -0.7601
1.4395 -4.8988 -3.1550
4.1633 -1.1555 -2.0149
4.2516 -3.5266 -4.4097
0.0000 0.0000 0.0000
1.8299 -1.9994 -3.6383
```


# 24
Computed, not measured: an optimized crystal structure of TiReSi3 at the PBE level of DFT.

Properties
Density   5.8 Mg/m³
E above lowest polymorph   676 meV/atom

Structure (POSCAR):
```
TiReSi3
1.0
-0.9350 4.1993 1.2937
-0.5345 -1.4215 4.2280
4.3615 0.7261 0.7955
Re Si Ti
1 3 1
Cartesian
1.4460 1.7519 3.1586
-0.2672 -0.7108 2.1140
2.1807 0.3630 0.3977
-0.4675 2.0997 0.6469
0.0000 0.0000 0.0000
```


Ordered formation energy (no corrections) results: 0.587, 1.817, -0.590, -0.502, -0.113, -0.509, -0.360, -0.374, -0.604, 0.644, -0.692, -0.414, -0.324, 0.415, 0.039, -0.738, 0.565, 0.816, -0.273, 0.666, -0.640, 0.726, -0.717, 1.491; unit eV per atom.
Ordered raw total energy results: -4.56, -3.33, -8.27, -10.22, -7.79, -7.74, -7.59, -8.47, -7.86, -7.53, -8.41, -9.15, -9.88, -9.14, -7.76, -9.33, -8.28, -6.51, -8.07, -7.65, -9.23, -7.59, -8.53, -5.83; unit eV per atom.
Ordered V results: 27.95, 40.43, 19.05, 16.94, 18.04, 18.49, 19.82, 17.22, 20.91, 23.98, 18.27, 18.20, 14.16, 16.59, 15.35, 14.45, 18.38, 19.97, 14.00, 18.17, 14.53, 20.86, 14.52, 18.13; unit A^3/atom.